! Ho11Ni4Hg9 | Alexandria via LeMat-Bulk | PBE | relaxed; values from VASP
&SYSTEM
  ibrav = 0, nat = 24, ntyp = 3
/
ATOMIC_SPECIES
Ho 164.93 Ho.upf
Ni 58.69 Ni.upf
Hg 200.59 Hg.upf
CELL_PARAMETERS angstrom
7.172 -10.769 0.000
7.172 10.769 0.000
0.000 0.000 3.562
ATOMIC_POSITIONS crystal
Ho 0.000 0.000 0.000
Ho 0.082 0.417 0.000
Ho 0.165 0.835 0.000
Ho 0.308 0.308 0.000
Ho 0.373 0.627 0.000
Ho 0.417 0.082 0.000
Ho 0.583 0.918 0.000
Ho 0.627 0.373 0.000
Ho 0.692 0.692 0.000
Ho 0.835 0.165 0.000
Ho 0.918 0.583 0.000
Ni 0.252 0.450 0.500
Ni 0.450 0.252 0.500
Ni 0.550 0.748 0.500
Ni 0.748 0.550 0.500
Hg 0.072 0.218 0.500
Hg 0.155 0.630 0.500
Hg 0.218 0.072 0.500
Hg 0.370 0.845 0.500
Hg 0.500 0.500 0.500
Hg 0.630 0.155 0.500
Hg 0.782 0.928 0.500
Hg 0.845 0.370 0.500
Hg 0.928 0.782 0.500
! Volume in Å³ per cell: 550.2
! Density in g/cm3: 11.63
! Formation enthalpy at 0 K in eV per atom: -0.494

=====

! Ho5Ni2Hg | Alexandria via LeMat-Bulk | PBE | relaxed; values from VASP
&SYSTEM
  ibrav = 0, nat = 16, ntyp = 3
/
ATOMIC_SPECIES
Ho 164.93 Ho.upf
Ni 58.69 Ni.upf
Hg 200.59 Hg.upf
CELL_PARAMETERS angstrom
-3.826 3.826 6.542
3.826 -3.826 6.542
3.826 3.826 -6.542
ATOMIC_POSITIONS crystal
Ho 0.000 0.000 0.000
Ho 0.025 0.525 0.821
Ho 0.204 0.025 0.500
Ho 0.296 0.796 0.821
Ho 0.475 0.296 0.500
Ho 0.500 0.500 0.000
Ho 0.525 0.704 0.500
Ho 0.704 0.204 0.179
Ho 0.796 0.975 0.500
Ho 0.975 0.475 0.179
Ni 0.127 0.373 0.500
Ni 0.373 0.873 0.246
Ni 0.627 0.127 0.754
Ni 0.873 0.627 0.500
Hg 0.250 0.250 0.000
Hg 0.750 0.750 0.000
! Volume in Å³ per cell: 383.1
! Density in g/cm3: 9.91
! Formation enthalpy at 0 K in eV per atom: -0.372

=====

! Ho4NiHg2 | Alexandria via LeMat-Bulk | PBE | relaxed; values from VASP
&SYSTEM
  ibrav = 0, nat = 7, ntyp = 3
/
ATOMIC_SPECIES
Ho 164.93 Ho.upf
Ni 58.69 Ni.upf
Hg 200.59 Hg.upf
CELL_PARAMETERS angstrom
-2.545 2.545 7.527
2.545 -2.545 7.527
2.545 2.545 -7.527
ATOMIC_POSITIONS crystal
Ho 0.000 0.500 0.500
Ho 0.180 0.180 0.000
Ho 0.500 0.000 0.500
Ho 0.820 0.820 0.000
Ni 0.000 0.000 0.000
Hg 0.376 0.376 0.000
Hg 0.624 0.624 0.000
! Volume in Å³ per cell: 195.0
! Energy relative to the lowest polymorph listed for this composition in meV/atom: 63
! Density in g/cm3: 9.53
! Formation enthalpy at 0 K in eV per atom: -0.217